Computed, not measured: an optimized crystal structure of Rb3Sm3USe8 at the PBE level of DFT.

Lattice parameters (Å, degrees): 8.5470 8.5470 9.5335 116.64 116.64 59.99
Closest atoms and distances in Å follow each position.
Fractional coordinates of all 15 atoms:
Rb  0.0000  0.0000  0.0000  6 Se 3.48-3.50
Rb  0.0000  0.5000  0.0000  6 Se 3.49-3.50
Rb  0.5000  0.0000  0.0000  6 Se 3.49-3.50
Sm  0.0000  0.5000  0.5000  6 Se 2.95-2.96
Sm  0.5000  0.0000  0.5000  6 Se 2.95-2.96
Sm  0.5000  0.5000  0.5000  6 Se 2.95
U  0.0000  0.0000  0.5000  6 Se 2.86-2.87
Se  0.2262  0.2262  0.6920  1 U 2.87, 2 Sm 2.95
Se  0.2267  0.7400  0.6916  1 U 2.86, 2 Sm 2.95-2.96
Se  0.2600  0.7733  0.3084  1 U 2.86, 2 Sm 2.95-2.96
Se  0.2669  0.2669  0.3017  3 Sm 2.95
Se  0.7331  0.7331  0.6983  3 Sm 2.95
Se  0.7400  0.2267  0.6916  1 U 2.86, 2 Sm 2.95-2.96
Se  0.7733  0.2600  0.3084  1 U 2.86, 2 Sm 2.95-2.96
Se  0.7738  0.7738  0.3080  1 U 2.87, 2 Sm 2.95

Output
density of states at the Fermi level: 5.88 states/eV per cell
ΔE_f (raw): -1631 meV per atom
magnetization: 2.00 Bohr magnetons per cell
space group: No. 12